# 1
! MgNpAl2Pt2 | Alexandria via LeMat-Bulk | PBE | relaxed; values from VASP
&SYSTEM
  ibrav = 0, nat = 6, ntyp = 4
/
ATOMIC_SPECIES
Mg 24.30 Mg.upf
Np 237.00 Np.upf
Al 26.98 Al.upf
Pt 195.08 Pt.upf
CELL_PARAMETERS angstrom
4.4190 0.0000 0.0000
-2.2095 3.8270 0.0000
0.0000 0.0000 6.5366
ATOMIC_POSITIONS crystal
Mg 0.0000 0.0000 0.5000
Np 0.0000 0.0000 0.0000
Al 0.3333 0.6667 0.6897
Al 0.6667 0.3333 0.3103
Pt 0.3333 0.6667 0.2690
Pt 0.6667 0.3333 0.7310
! Formation enthalpy at 0 K in eV/f.u.: -4.0
! Space group: P-3m1, No. 164
! Crystal system: trigonal

# 2
! Hg3AsI | Alexandria via LeMat-Bulk | PBE | relaxed; values from VASP
&SYSTEM
  ibrav = 0, nat = 10, ntyp = 3
/
ATOMIC_SPECIES
Hg 200.59 Hg.upf
As 74.92 As.upf
I 126.90 I.upf
CELL_PARAMETERS angstrom
7.6778 0.4501 0.3354
3.4864 6.8554 0.3354
3.4864 2.2814 6.4733
ATOMIC_POSITIONS crystal
Hg 0.1902 0.7441 0.2983
Hg 0.2983 0.1902 0.7441
Hg 0.7441 0.2983 0.1902
Hg 0.6902 0.7983 0.2441
Hg 0.7983 0.2441 0.6902
Hg 0.2441 0.6902 0.7983
As 0.9943 0.9943 0.9943
As 0.4943 0.4943 0.4943
I 0.7446 0.7446 0.7446
I 0.2446 0.2446 0.2446
! Space group: R3c, No. 161
! Final energy in eV per atom: -1.457
! Crystal system: trigonal

# 3
! LiTl2Pd5Au2 | Alexandria via LeMat-Bulk | PBE | relaxed; values from VASP
&SYSTEM
  ibrav = 0, nat = 20, ntyp = 4
/
ATOMIC_SPECIES
Li 6.94 Li.upf
Tl 204.38 Tl.upf
Pd 106.42 Pd.upf
Au 196.97 Au.upf
CELL_PARAMETERS angstrom
3.0764 0.0000 0.0000
0.0000 10.7494 0.0000
0.0000 0.0000 10.7494
ATOMIC_POSITIONS crystal
Li 0.0000 0.0000 0.0000
Li 0.0000 0.5000 0.5000
Tl 0.0000 0.6614 0.1614
Tl 0.0000 0.3386 0.8386
Tl 0.0000 0.1614 0.3386
Tl 0.0000 0.8386 0.6614
Pd 0.5000 0.1914 0.0025
Pd 0.5000 0.8086 0.9975
Pd 0.5000 0.0025 0.8086
Pd 0.5000 0.6914 0.4975
Pd 0.5000 0.9975 0.1914
Pd 0.5000 0.3086 0.5025
Pd 0.5000 0.5025 0.6914
Pd 0.5000 0.4975 0.3086
Pd 0.5000 0.5000 0.0000
Pd 0.5000 0.0000 0.5000
Au 0.0000 0.1555 0.6555
Au 0.0000 0.8445 0.3445
Au 0.0000 0.6555 0.8445
Au 0.0000 0.3445 0.1555
! Formation enthalpy at 0 K in eV/f.u.: -0.9
! Space group: P4/mbm, No. 127
! Crystal system: tetragonal